1.
DFT (PBE) results for a geometry-optimized Ce6ThSc structure.

Output
* N(E_F): 40.66 states/eV/cell
* DFT total energy: -97.952 eV per cell
* energy relative to the elements: 0.047 eV per atom

Cell: 4.742 9.607 9.493 Å, 90.00 90.00 90.00°
Sites, in units of the cell vectors:
Ce 0.000 0.000 0.000
Ce 0.000 0.247 0.250
Ce 0.000 0.253 0.750
Ce 0.000 0.500 0.500
Ce 0.000 0.747 0.750
Ce 0.000 0.753 0.250
Ce 0.500 0.000 0.251
Ce 0.500 0.249 0.496
Ce 0.500 0.251 0.996
Ce 0.500 0.500 0.751
Ce 0.500 0.749 0.996
Ce 0.500 0.751 0.496
Th 0.500 0.000 0.742
Th 0.500 0.500 0.242
Sc 0.000 0.000 0.500
Sc 0.000 0.500 0.000

---

2.
DFT (PBE) results for a geometry-optimized CeThSc2 structure.

Output
* ΔE to the lowest computed polymorph: 0.0395 eV per atom
* N(E_F): 34.69 states/eV/cell
* DFT total energy: -102.484 eV per cell
* energy relative to the elements: 0.099 eV per atom

Cell: 8.527 3.431 15.096 Å, 90.00 90.00 90.00°
Sites, in units of the cell vectors:
Ce 0.238 0.250 0.198
Ce 0.262 0.750 0.698
Ce 0.738 0.250 0.302
Ce 0.762 0.750 0.802
Th 0.042 0.750 0.397
Th 0.458 0.250 0.897
Th 0.542 0.750 0.103
Th 0.958 0.250 0.603
Sc 0.076 0.250 0.838
Sc 0.172 0.750 0.006
Sc 0.328 0.250 0.506
Sc 0.424 0.750 0.338
Sc 0.576 0.250 0.662
Sc 0.672 0.750 0.494
Sc 0.828 0.250 0.994
Sc 0.924 0.750 0.162